DFT (PBE) results for a relaxed structure of Ca2NiP.

The structure in CIF format:
```
data_Ca2NiP
_chemical_formula_sum 'Ca8 Ni4 P4'
_symmetry_space_group_name_H-M 'F -4 3 m'
_symmetry_Int_Tables_number 216
_symmetry_space_group_name_Hall 'F -4 2 3'
_cell_length_a 6.738
_cell_length_b 6.738
_cell_length_c 6.738
_cell_angle_alpha 90.00
_cell_angle_beta 90.00
_cell_angle_gamma 90.00
loop_
_atom_site_label
_atom_site_type_symbol
_atom_site_fract_x
_atom_site_fract_y
_atom_site_fract_z
_atom_site_occupancy
Ca1 Ca 0.000 0.000 0.000 1
Ca2 Ca 0.250 0.250 0.250 1
Ni1 Ni 0.000 0.000 0.500 1
P1 P 0.250 0.250 0.750 1
```

Output
Total magnetization (μB per formula unit): 0.00
ΔE_f (eV/atom): -0.07
Crystal system: cubic